Entry 1:
4
Lattice="3.429 0.000 0.000 1.715 2.970 0.000 1.715 0.990 12.023" Properties=species:S:1:pos:R:3 comment="Gd2PuCd, optimized geometry, DFT PBE" delta_e_f_ev_per_fu=1.0 polymorph_energy_mev_per_atom=315 density_kg_m3=9099 m_tot_mub_per_fu=20.5 sg="R-3m, No. 166" pbc="T T T"
Gd 3.429 1.980 2.766
Gd 3.429 1.980 9.257
Cd 3.429 1.980 6.011
Pu 0.000 0.000 0.000


Entry 2:
8
Lattice="-1.474 2.239 7.228 -5.989 -4.847 0.280 4.682 -5.630 2.698" Properties=species:S:1:pos:R:3 comment="RbMg, optimized geometry, DFT PBE" delta_e_f_ev_per_fu=0.8 density_kg_m3=1572 m_tot_mub_per_fu=0.0 sg="P4_2/mnm, No. 136" pbc="T T T"
Rb -1.363 -0.476 1.372
Rb -6.099 -2.132 6.136
Rb -0.565 -2.825 6.373
Rb -2.215 -5.413 3.834
Mg -4.031 -5.042 7.760
Mg 1.251 -3.196 2.446
Mg -4.391 -2.339 2.739
Mg -3.072 -0.269 4.769